Computed, not measured: a relaxed LaDy12Er6 crystal at the PBE level of DFT.

Unit cell a=9.2682 b=9.2682 c=9.2682 alpha=107.64 beta=107.64 gamma=107.64
Element x y z (fractional)
La  0.0000  0.0000  0.0000
Dy  0.1110  0.5000  0.8890
Dy  0.1110  0.8890  0.5000
Dy  0.1550  0.3734  0.3734
Dy  0.3734  0.1550  0.3734
Dy  0.3734  0.3734  0.1550
Dy  0.5000  0.1110  0.8890
Dy  0.5000  0.8890  0.1110
Dy  0.6266  0.6266  0.8450
Dy  0.6266  0.8450  0.6266
Dy  0.8450  0.6266  0.6266
Dy  0.8890  0.1110  0.5000
Dy  0.8890  0.5000  0.1110
Er  0.2643  0.6895  0.6895
Er  0.3105  0.3105  0.7357
Er  0.3105  0.7357  0.3105
Er  0.6895  0.2643  0.6895
Er  0.6895  0.6895  0.2643
Er  0.7357  0.3105  0.3105

Properties
excess energy over the best structure of this formula in the dataset	0.270	eV per atom
ΔH_f (0 K)	425	meV per atom
V	651	Å³/cell
space-group type	R-3m
size of the total moment	0.00	μB/f.u.